(1)
Co7Ni3Pt2 | PBE | relaxed

The structure in POSCAR format:
```
Co7Ni3Pt2
1.0
-1.343 1.525 -1.553
-0.348 -3.349 -2.987
-10.120 1.722 10.440
Co Ni Pt
7 3 2
Direct
0.500 0.918 0.842
0.500 0.082 0.158
0.500 0.743 0.502
0.500 0.257 0.498
0.000 0.000 0.000
0.000 0.406 0.844
0.000 0.594 0.156
0.000 0.789 0.668
0.000 0.211 0.332
0.500 0.500 0.000
0.500 0.696 0.323
0.500 0.304 0.677
```

Formation enthalpy at 0 K in eV per atom: 0.1051
Total magnetization in μB/f.u.: 6.35
VASP energy in eV/atom: -6.492

(2)
Co2Ni4Pt | PBE | relaxed

The structure in POSCAR format:
```
Co2Ni4Pt
1.0
-3.780 2.955 -1.340
-2.149 -3.927 2.184
0.370 3.459 6.584
Co Ni Pt
4 8 2
Direct
0.312 0.777 0.000
0.688 0.223 0.000
0.223 0.688 0.500
0.777 0.312 0.500
0.816 0.783 0.000
0.184 0.217 0.000
0.217 0.184 0.500
0.783 0.816 0.500
0.500 0.000 0.279
0.000 0.500 0.221
0.500 0.000 0.721
0.000 0.500 0.779
0.500 0.500 0.250
0.500 0.500 0.750
```

Formation enthalpy at 0 K in eV per atom: 0.1979
Total magnetization in μB/f.u.: 6.90
VASP energy in eV/atom: -5.999

(3)
CoNiPt2 | PBE | relaxed

The structure in POSCAR format:
```
CoNiPt2
1.0
4.073 0.000 0.000
0.000 2.695 -0.008
0.000 1.369 4.935
Ni Co Pt
1 1 2
Direct
0.500 0.559 0.757
0.000 0.691 0.492
0.000 0.956 0.964
0.500 0.294 0.287
```

Formation enthalpy at 0 K in eV per atom: -0.0589
Total magnetization in μB/f.u.: 3.48
VASP energy in eV/atom: -6.301

(4)
Co3Ni3Pt2 | PBE | relaxed

The structure in POSCAR format:
```
Co3Ni3Pt2
1.0
3.788 0.000 0.000
-1.894 3.881 0.000
0.000 0.000 13.689
Co Ni Pt
6 6 4
Direct
0.550 0.100 0.080
0.450 0.900 0.580
0.550 0.100 0.420
0.450 0.900 0.920
0.603 0.206 0.250
0.397 0.794 0.750
0.854 0.707 0.031
0.146 0.293 0.531
0.854 0.707 0.469
0.146 0.293 0.969
0.920 0.840 0.250
0.080 0.160 0.750
0.755 0.510 0.650
0.245 0.490 0.150
0.755 0.510 0.850
0.245 0.490 0.350
```

Formation enthalpy at 0 K in eV per atom: 0.0509
Total magnetization in μB/f.u.: 8.24
VASP energy in eV/atom: -6.292

(5)
Co5Ni4Pt2 | PBE | relaxed

The structure in POSCAR format:
```
Co5Ni4Pt2
1.0
-1.423 -2.091 0.575
1.049 -2.399 -6.128
6.046 -2.790 4.825
Co Ni Pt
5 4 2
Direct
0.000 0.503 0.362
0.000 0.901 0.096
0.000 0.500 0.000
0.000 0.099 0.904
0.000 0.497 0.638
0.500 0.236 0.713
0.500 0.754 0.845
0.500 0.764 0.287
0.500 0.246 0.155
0.000 0.861 0.595
0.000 0.139 0.405
```

Formation enthalpy at 0 K in eV per atom: 0.1348
Total magnetization in μB/f.u.: 12.22
VASP energy in eV/atom: -6.296

(6)
Co10NiPt6 | PBE | relaxed

The structure in POSCAR format:
```
Co10NiPt6
1.0
5.041 0.000 0.000
0.000 6.274 -3.622
0.000 0.000 7.244
Co Ni Pt
10 1 6
Direct
0.828 0.718 0.718
0.828 0.000 0.282
0.828 0.282 0.000
0.172 0.282 0.282
0.172 0.000 0.718
0.172 0.718 0.000
0.500 0.333 0.667
0.500 0.667 0.333
0.000 0.667 0.333
0.000 0.333 0.667
0.500 0.000 0.000
0.697 0.369 0.369
0.697 0.000 0.631
0.697 0.631 0.000
0.303 0.631 0.631
0.303 0.000 0.369
0.303 0.369 0.000
```

Formation enthalpy at 0 K in eV per atom: 0.1237
Total magnetization in μB/f.u.: 21.94
VASP energy in eV/atom: -6.528

(7)
CoNi2Pt | PBE | relaxed

The structure in POSCAR format:
```
CoNi2Pt
1.0
8.438 -0.008 -0.005
8.030 2.592 -0.005
8.030 1.260 2.265
Co Ni Pt
1 2 1
Direct
0.745 0.745 0.745
0.001 0.001 0.001
0.255 0.255 0.255
0.499 0.499 0.499
```

Formation enthalpy at 0 K in eV per atom: 0.0066
Total magnetization in μB/f.u.: 3.31
VASP energy in eV/atom: -6.171

(8)
Co5Ni3Pt3 | PBE | relaxed

The structure in POSCAR format:
```
Co5Ni3Pt3
1.0
-0.166 2.391 -0.974
-8.112 -0.980 -1.024
2.917 3.078 7.059
Co Ni Pt
5 3 3
Direct
0.500 0.667 0.333
0.500 0.333 0.667
0.500 0.327 0.000
0.500 0.673 0.673
0.500 0.000 0.327
0.500 0.840 0.000
0.500 0.160 0.160
0.500 0.000 0.840
0.000 0.584 0.000
0.000 0.000 0.584
0.000 0.416 0.416
```

Formation enthalpy at 0 K in eV per atom: 0.3847
Total magnetization in μB/f.u.: 12.30
VASP energy in eV/atom: -6.070

(9)
Co5Ni6Pt | PBE | relaxed

The structure in POSCAR format:
```
Co5Ni6Pt
1.0
-2.029 -2.665 1.112
-1.206 -3.252 -4.395
5.943 -3.977 1.313
Ni Co Pt
6 5 1
Direct
0.831 0.338 0.257
0.831 0.338 0.743
0.500 0.000 0.741
0.500 0.000 0.259
0.169 0.662 0.257
0.169 0.662 0.743
0.667 0.667 0.500
0.324 0.352 0.000
0.000 0.000 0.500
0.676 0.648 0.000
0.333 0.333 0.500
0.000 0.000 0.000
```

Formation enthalpy at 0 K in eV per atom: -0.0167
Total magnetization in μB/f.u.: 12.83
VASP energy in eV/atom: -6.372

(10)
Co6Ni16Pt7 | PBE | relaxed

The structure in POSCAR format:
```
Co6Ni16Pt7
1.0
-3.186 -7.323 1.586
-0.368 -5.636 -5.864
4.823 -6.551 0.341
Co Ni Pt
6 16 7
Direct
0.243 0.757 0.243
0.757 0.243 0.757
0.757 0.243 0.243
0.243 0.757 0.757
0.757 0.757 0.243
0.243 0.243 0.757
0.872 0.872 0.383
0.872 0.872 0.872
0.872 0.383 0.872
0.383 0.872 0.872
0.128 0.128 0.128
0.128 0.128 0.617
0.128 0.617 0.128
0.617 0.128 0.128
0.610 0.610 0.169
0.610 0.610 0.610
0.610 0.169 0.610
0.169 0.610 0.610
0.390 0.390 0.390
0.390 0.390 0.831
0.390 0.831 0.390
0.831 0.390 0.390
0.000 0.000 0.000
0.500 0.000 0.500
0.000 0.500 0.000
0.000 0.500 0.500
0.500 0.000 0.000
0.000 0.000 0.500
0.500 0.500 0.000
```

Formation enthalpy at 0 K in eV per atom: 0.1609
Total magnetization in μB/f.u.: 24.15
VASP energy in eV/atom: -5.957

(11)
CoNiPt2 | PBE | relaxed

The structure in POSCAR format:
```
CoNiPt2
1.0
-4.983 6.402 -3.237
-5.739 4.403 -4.897
-6.938 4.687 -2.488
Ni Co Pt
1 1 2
Direct
0.750 0.750 0.750
0.250 0.250 0.250
0.999 0.999 0.999
0.501 0.501 0.501
```

Formation enthalpy at 0 K in eV per atom: -0.0927
Total magnetization in μB/f.u.: 3.09
VASP energy in eV/atom: -6.335

(12)
CoNiPt3 | PBE | relaxed

The structure in POSCAR format:
```
CoNiPt3
1.0
-1.347 0.687 -2.225
3.944 -1.910 -2.977
-4.511 -9.161 -0.098
Co Ni Pt
2 2 6
Direct
0.750 0.250 0.983
0.250 0.750 0.017
0.250 0.250 0.382
0.750 0.750 0.618
0.750 0.499 0.197
0.250 0.501 0.803
0.750 0.001 0.197
0.250 0.999 0.803
0.750 0.250 0.592
0.250 0.750 0.408
```

Formation enthalpy at 0 K in eV per atom: 0.0611
Total magnetization in μB/f.u.: 3.57
VASP energy in eV/atom: -6.141